No. 1
Below is TcSe2SBr after structural relaxation, with properties calculated at the PBE level.

Cell lengths 4.905, 4.905, 5.028 Å; angles 90.00, 90.00, 90.00 degrees
Last column: magnetic moment on the atom in μB.
Fractional positions:
Br  0.000  0.000  0.500  0.04
Tc  0.500  0.500  0.500  3.95
S  0.000  0.000  0.000  -0.07
Se  0.000  0.500  0.000  0.06
Se  0.500  0.000  0.000  0.06

Values from the calculation:
Symmetry = No. 123
Size of the total moment = 4.6 μB/f.u.
Total energy = -18.1 eV for the cell shown
Offset from the most stable computed form = 424 meV/atom


No. 2
Below is Ba2ZrAu after structural relaxation, with properties calculated at the PBE level.

Cell lengths 9.425, 9.425, 7.433 Å; angles 50.65, 50.65, 90.00 degrees
Last column: magnetic moment on the atom in μB.
Fractional positions:
Ba  0.375  0.327  0.750  0.10
Ba  0.673  0.125  0.250  0.09
Ba  0.077  0.625  0.250  0.09
Ba  0.875  0.923  0.750  0.10
Au  0.750  0.250  0.500  0.04
Au  0.000  0.000  0.000  0.03
Zr  0.250  0.750  0.500  1.02
Zr  0.500  0.500  0.000  1.03

Values from the calculation:
Symmetry = No. 122
Size of the total moment = 2.2 μB/f.u.
Total energy = -28.3 eV for the cell shown
Energy relative to the elements = 0.383 eV per atom
Offset from the most stable computed form = 438 meV/atom


No. 3
Below is Sr3Tl2Hg3 after structural relaxation, with properties calculated at the PBE level.

Cell lengths 4.088, 8.710, 8.710 Å; angles 120.00, 90.00, 90.00 degrees
Fractional positions:
Hg  0.000  0.699  0.699
Hg  0.000  0.301  0.000
Hg  0.000  0.000  0.301
Sr  0.500  0.000  0.678
Sr  0.500  0.322  0.322
Sr  0.500  0.678  0.000
Tl  0.000  0.333  0.667
Tl  0.000  0.667  0.333

Values from the calculation:
Symmetry = No. 189
Size of the total moment = 0.0 μB/f.u.
Total energy = -13.7 eV for the cell shown
Energy relative to the elements = -0.376 eV per atom


No. 4
Below is TcRhSeBr2 after structural relaxation, with properties calculated at the PBE level.

Cell lengths 4.993, 4.993, 4.995 Å; angles 90.00, 90.00, 90.00 degrees
Last column: magnetic moment on the atom in μB.
Fractional positions:
Tc  0.500  0.500  0.500  4.00
Br  0.500  0.000  0.000  0.07
Br  0.000  0.500  0.000  0.07
Se  0.000  0.000  0.500  0.03
Rh  0.000  0.000  0.000  -0.02

Values from the calculation:
Symmetry = No. 123
Size of the total moment = 4.8 μB/f.u.
Total energy = -20.8 eV for the cell shown
Offset from the most stable computed form = 0 meV/atom


No. 5
Below is Sm2Th2Sc5 after structural relaxation, with properties calculated at the PBE level.

Cell lengths 3.340, 7.689, 12.262 Å; angles 120.90, 97.83, 90.00 degrees
Fractional positions:
Sc  0.905  0.542  0.810
Sc  0.692  0.846  0.384
Sc  0.308  0.154  0.616
Sc  0.095  0.458  0.190
Sc  0.000  0.000  0.000
Sm  0.816  0.769  0.632
Sm  0.184  0.231  0.368
Th  0.448  0.243  0.896
Th  0.552  0.757  0.104

Values from the calculation:
Symmetry = No. 12
Size of the total moment = 0.0 μB/f.u.
Total energy = -53.8 eV for the cell shown
Energy relative to the elements = 0.243 eV per atom
Offset from the most stable computed form = 0 meV/atom


No. 6
Below is Ho2ZnGa2Co5 after structural relaxation, with properties calculated at the PBE level.

Cell lengths 3.388, 9.385, 9.385 Å; angles 90.00, 90.00, 90.00 degrees
Last column: magnetic moment on the atom in μB.
Fractional positions:
Co  0.500  0.199  0.061  0.64
Co  0.500  0.699  0.439  0.64
Co  0.500  0.439  0.301  0.64
Co  0.500  0.801  0.939  0.64
Co  0.500  0.301  0.561  0.64
Co  0.500  0.939  0.199  0.64
Co  0.500  0.561  0.699  0.64
Co  0.500  0.500  0.000  0.00
Co  0.500  0.000  0.500  0.00
Co  0.500  0.061  0.801  0.64
Ga  0.000  0.124  0.624  -0.04
Ga  0.000  0.876  0.376  -0.04
Ga  0.000  0.376  0.124  -0.04
Ga  0.000  0.624  0.876  -0.04
Ho  0.000  0.174  0.326  -0.15
Ho  0.000  0.826  0.674  -0.15
Ho  0.000  0.674  0.174  -0.15
Ho  0.000  0.326  0.826  -0.15
Zn  0.000  0.000  0.000  -0.01
Zn  0.000  0.500  0.500  -0.01

Values from the calculation:
Symmetry = No. 127
Size of the total moment = 2.1 μB/f.u.
Total energy = -107.0 eV for the cell shown
Energy relative to the elements = -0.149 eV per atom


What did the first record say?
Below is TcSe2SBr after structural relaxation, with properties calculated at the PBE level.

Cell lengths 4.905, 4.905, 5.028 Å; angles 90.00, 90.00, 90.00 degrees
Last column: magnetic moment on the atom in μB.
Fractional positions:
Br  0.000  0.000  0.500  0.04
Tc  0.500  0.500  0.500  3.95
S  0.000  0.000  0.000  -0.07
Se  0.000  0.500  0.000  0.06
Se  0.500  0.000  0.000  0.06

Values from the calculation:
Symmetry = No. 123
Size of the total moment = 4.6 μB/f.u.
Total energy = -18.1 eV for the cell shown
Offset from the most stable computed form = 424 meV/atom


Look up the size of the total moment of the third one.
0.0 μB/f.u.


What is the size of the total moment in the first record?
4.6 μB/f.u.